1.
Material: LuZnIr
Method: DFT, GGA-PBE
State: relaxed

a b c (Å): 3.2571 4.4113 4.4113
angles (deg): 120.00 90.00 90.00
Fractional positions:
Zn  0.1664  0.6667  0.3333
Lu  0.6665  0.3333  0.6667
Ir  0.1670  0.0000  0.0000

Results
Crystal system   hexagonal
Space group   P-6m2, No. 187

---

2.
Material: LuZrIr4
Method: DFT, GGA-PBE
State: relaxed

a b c (Å): 5.2817 5.2817 5.2817
angles (deg): 60.00 60.00 60.00
Fractional positions:
Zr  0.2500  0.2500  0.2500
Ir  0.6253  0.6253  0.6253
Ir  0.1240  0.6253  0.6253
Ir  0.6253  0.6253  0.1240
Ir  0.6253  0.1240  0.6253
Lu  0.0000  0.0000  0.0000

Results
Crystal system   cubic
Space group   F-43m, No. 216

---

3.
Material: LuZrIr
Method: DFT, GGA-PBE
State: relaxed

a b c (Å): 4.6328 4.6328 4.6328
angles (deg): 60.00 60.00 60.00
Fractional positions:
Ir  0.2500  0.2500  0.2500
Zr  0.0000  0.0000  0.0000
Lu  0.5000  0.5000  0.5000

Results
Energy above the most stable polymorph in this dataset   0 meV per atom
Crystal system   cubic
Space group   F-43m, No. 216

---

4.
Material: LuZrIr
Method: DFT, GGA-PBE
State: relaxed

a b c (Å): 2.9893 2.9893 7.9002
angles (deg): 100.91 100.91 90.00
Fractional positions:
Lu  0.1167  0.1167  0.2334
Ir  0.9481  0.9481  0.8962
Zr  0.7852  0.7852  0.5703

Results
Energy above the most stable polymorph in this dataset   1081 meV per atom
Crystal system   tetragonal
Space group   I4mm, No. 107

---

5.
Material: MgIr3
Method: DFT, GGA-PBE
State: relaxed

a b c (Å): 4.4635 2.7862 4.7645
angles (deg): 90.00 90.00 90.00
Fractional positions:
Mg  0.5000  0.0000  0.6586
Ir  0.0000  0.5000  0.5068
Ir  0.5000  0.5000  0.1608
Ir  0.0000  0.0000  0.0071

Results
Crystal system   orthorhombic
Space group   Pmm2, No. 25

---

6.
Material: MgIr3
Method: DFT, GGA-PBE
State: relaxed

a b c (Å): 5.5223 5.5223 4.4947
angles (deg): 90.00 90.00 119.89
Fractional positions:
Ir  0.0747  0.4149  0.2500
Ir  0.9201  0.0799  0.7500
Ir  0.0799  0.9201  0.2500
Ir  0.9253  0.5851  0.7500
Ir  0.5851  0.9253  0.2500
Ir  0.4149  0.0747  0.7500
Mg  0.5838  0.4162  0.2500
Mg  0.4162  0.5838  0.7500

Results
Crystal system   orthorhombic
Space group   Cmcm, No. 63

---

7.
Material: MgIr2
Method: DFT, GGA-PBE
State: relaxed

a b c (Å): 3.5907 3.5907 4.4009
angles (deg): 90.00 90.00 90.00
Fractional positions:
Mg  0.0000  0.0000  0.0000
Ir  0.0000  0.5000  0.5000
Ir  0.5000  0.0000  0.5000

Results
Crystal system   tetragonal
Space group   P4/mmm, No. 123

---

8.
Material: MgIr
Method: DFT, GGA-PBE
State: relaxed

a b c (Å): 2.8215 2.8215 8.4501
angles (deg): 90.00 90.00 90.00
Fractional positions:
Ir  0.0000  0.0000  0.0173
Ir  0.5000  0.5000  0.2327
Mg  0.5000  0.5000  0.7860
Mg  0.0000  0.0000  0.4640

Results
Crystal system   tetragonal
Space group   P4/nmm, No. 129

---

9.
Material: MgIr
Method: DFT, GGA-PBE
State: relaxed

a b c (Å): 2.9451 4.6658 4.5134
angles (deg): 90.00 90.00 90.00
Fractional positions:
Mg  0.0000  0.5000  0.3515
Mg  0.5000  0.0000  0.4819
Ir  0.5000  0.5000  0.8580
Ir  0.0000  0.0000  0.9753

Results
Crystal system   orthorhombic
Space group   Pmmn, No. 59

---

10.
Material: MgIr5
Method: DFT, GGA-PBE
State: relaxed

a b c (Å): 2.7572 2.7572 11.7668
angles (deg): 90.00 90.00 90.00
Fractional positions:
Ir  0.0000  0.0000  0.3234
Ir  0.5000  0.5000  0.8346
Ir  0.5000  0.5000  0.1654
Ir  0.0000  0.0000  0.0000
Ir  0.0000  0.0000  0.6766
Mg  0.5000  0.5000  0.5000

Results
Crystal system   tetragonal
Space group   P4/mmm, No. 123

---

11.
Material: MgIr
Method: DFT, GGA-PBE
State: relaxed

a b c (Å): 3.6846 3.6846 3.6846
angles (deg): 60.00 60.00 60.00
Fractional positions:
Mg  0.5000  0.5000  0.5000
Ir  0.0000  0.0000  0.0000

Results
Crystal system   cubic
Space group   Fm-3m, No. 225

---

12.
Material: MgIr
Method: DFT, GGA-PBE
State: relaxed

a b c (Å): 5.2232 5.5950 5.5950
angles (deg): 150.26 128.32 61.38
Fractional positions:
Ir  0.0678  0.7332  0.3346
Ir  0.0156  0.0168  0.9987
Mg  0.4587  0.4837  0.9751
Mg  0.6246  0.2663  0.3583

Results
Crystal system   monoclinic
Space group   C2/m, No. 12

---

13.
Material: MgIr2
Method: DFT, GGA-PBE
State: relaxed

a b c (Å): 4.7598 4.7598 4.5631
angles (deg): 90.00 90.00 118.74
Fractional positions:
Mg  0.8245  0.8245  0.7500
Mg  0.1755  0.1755  0.2500
Ir  0.8357  0.4938  0.2500
Ir  0.1643  0.5062  0.7500
Ir  0.5062  0.1643  0.7500
Ir  0.4938  0.8357  0.2500

Results
Crystal system   orthorhombic
Space group   Cmcm, No. 63

---

14.
Material: MgIr4
Method: DFT, GGA-PBE
State: relaxed

a b c (Å): 6.1525 6.1525 4.7668
angles (deg): 49.81 49.81 90.00
Fractional positions:
Ir  0.6018  0.1930  0.0000
Ir  0.3982  0.8070  0.0000
Ir  0.8070  0.6018  0.0000
Ir  0.1930  0.3982  0.0000
Mg  0.0000  0.0000  0.0000

Results
Energy above the most stable polymorph in this dataset   0 meV per atom
Crystal system   tetragonal
Space group   I4/m, No. 87

---

15.
Material: MgIr2
Method: DFT, GGA-PBE
State: relaxed

a b c (Å): 4.4073 4.4073 5.3641
angles (deg): 90.00 90.00 120.00
Fractional positions:
Ir  0.3333  0.6667  0.2500
Ir  0.0000  0.0000  0.5000
Ir  0.6667  0.3333  0.7500
Ir  0.0000  0.0000  0.0000
Mg  0.6667  0.3333  0.2500
Mg  0.3333  0.6667  0.7500

Results
Crystal system   hexagonal
Space group   P6_3/mmc, No. 194

---

16.
Material: Mg5Ir4
Method: DFT, GGA-PBE
State: relaxed

a b c (Å): 7.7889 7.7889 5.4483
angles (deg): 90.00 90.00 120.00
Fractional positions:
Ir  0.0000  0.0000  0.0000
Ir  0.0000  0.0000  0.5000
Ir  0.0000  0.6457  0.7500
Ir  0.3543  0.3543  0.7500
Ir  0.6457  0.6457  0.2500
Ir  0.3543  0.0000  0.2500
Ir  0.6457  0.0000  0.7500
Ir  0.0000  0.3543  0.2500
Mg  0.3333  0.6667  0.5000
Mg  0.3045  0.3045  0.2500
Mg  0.3333  0.6667  0.0000
Mg  0.6955  0.0000  0.2500
Mg  0.3045  0.0000  0.7500
Mg  0.6955  0.6955  0.7500
Mg  0.6667  0.3333  0.0000
Mg  0.0000  0.6955  0.2500
Mg  0.6667  0.3333  0.5000
Mg  0.0000  0.3045  0.7500

Results
Energy above the most stable polymorph in this dataset   0 meV per atom
Crystal system   hexagonal
Space group   P6_3/mcm, No. 193

---

17.
Material: MgIr4
Method: DFT, GGA-PBE
State: relaxed

a b c (Å): 6.7260 6.7260 6.7260
angles (deg): 148.04 148.04 45.82
Fractional positions:
Mg  0.0000  0.0000  0.0000
Ir  0.4013  0.4013  0.0000
Ir  0.7500  0.2500  0.5000
Ir  0.5987  0.5987  0.0000
Ir  0.2500  0.7500  0.5000

Results
Energy above the most stable polymorph in this dataset   318 meV per atom
Crystal system   tetragonal
Space group   I4/mmm, No. 139

---

18.
Material: Mg3Ir
Method: DFT, GGA-PBE
State: relaxed

a b c (Å): 4.5880 4.5880 8.2572
angles (deg): 90.00 90.00 120.00
Fractional positions:
Mg  0.3333  0.6667  0.4217
Mg  0.6667  0.3333  0.9217
Mg  0.0000  0.0000  0.2500
Mg  0.3333  0.6667  0.0783
Mg  0.6667  0.3333  0.5783
Mg  0.0000  0.0000  0.7500
Ir  0.6667  0.3333  0.2500
Ir  0.3333  0.6667  0.7500

Results
Crystal system   hexagonal
Space group   P6_3/mmc, No. 194

---

19.
Material: MgIr
Method: DFT, GGA-PBE
State: relaxed

a b c (Å): 4.1953 4.1953 4.1953
angles (deg): 60.00 60.00 60.00
Fractional positions:
Ir  0.0000  0.0000  0.0000
Mg  0.2500  0.2500  0.2500

Results
Crystal system   cubic
Space group   F-43m, No. 216

---

20.
Material: MgIr2
Method: DFT, GGA-PBE
State: relaxed

a b c (Å): 4.7444 4.7444 4.7444
angles (deg): 145.62 130.67 61.51
Fractional positions:
Mg  0.3333  0.3333  0.0000
Ir  0.6630  0.6630  0.0000
Ir  0.0036  0.0036  0.0000

Results
Crystal system   orthorhombic
Space group   Immm, No. 71

---

21.
Material: MgIr3
Method: DFT, GGA-PBE
State: relaxed

a b c (Å): 4.4058 4.4058 4.4058
angles (deg): 60.00 60.00 60.00
Fractional positions:
Mg  0.2500  0.2500  0.2500
Ir  0.7500  0.7500  0.7500
Ir  0.5000  0.5000  0.5000
Ir  0.0000  0.0000  0.0000

Results
Crystal system   cubic
Space group   Fm-3m, No. 225

---

22.
Material: MgIr
Method: DFT, GGA-PBE
State: relaxed

a b c (Å): 4.9606 4.9606 4.9606
angles (deg): 133.76 133.76 67.47
Fractional positions:
Mg  0.2500  0.7500  0.5000
Mg  0.5000  0.5000  0.0000
Ir  0.0000  0.0000  0.0000
Ir  0.7500  0.2500  0.5000

Results
Crystal system   tetragonal
Space group   I4_1/amd, No. 141

---

23.
Material: MgIr2
Method: DFT, GGA-PBE
State: relaxed

a b c (Å): 6.4295 6.4295 3.8752
angles (deg): 90.00 90.00 120.00
Fractional positions:
Ir  0.0000  0.5840  0.5000
Ir  0.7529  0.7529  0.0000
Ir  0.5840  0.0000  0.5000
Ir  0.2471  0.0000  0.0000
Ir  0.0000  0.2471  0.0000
Ir  0.4160  0.4160  0.5000
Mg  0.6667  0.3333  0.0000
Mg  0.3333  0.6667  0.0000
Mg  0.0000  0.0000  0.5000

Results
Crystal system   hexagonal
Space group   P-62m, No. 189

---

24.
Material: MgIr2
Method: DFT, GGA-PBE
State: relaxed

a b c (Å): 5.2185 5.2185 16.9335
angles (deg): 90.00 90.00 60.00
Fractional positions:
Mg  0.3333  0.3333  0.8451
Mg  0.0000  0.0000  0.4098
Mg  0.0000  0.0000  0.5902
Mg  0.0000  0.0000  0.0902
Mg  0.0000  0.0000  0.9098
Mg  0.6667  0.6667  0.1549
Mg  0.6667  0.6667  0.3451
Mg  0.3333  0.3333  0.6549
Ir  0.5000  0.5000  0.5000
Ir  0.5000  0.5000  0.0000
Ir  0.5000  0.0000  0.5000
Ir  0.6667  0.6667  0.8739
Ir  0.3229  0.8386  0.7500
Ir  0.3333  0.3333  0.3739
Ir  0.6667  0.6667  0.6261
Ir  0.3333  0.3333  0.1261
Ir  0.6771  0.1614  0.2500
Ir  0.5000  0.0000  0.0000
Ir  0.1614  0.6771  0.2500
Ir  0.8386  0.3229  0.7500
Ir  0.8386  0.8386  0.7500
Ir  0.1614  0.1614  0.2500
Ir  0.0000  0.5000  0.5000
Ir  0.0000  0.5000  0.0000

Results
Crystal system   hexagonal
Space group   P6_3/mmc, No. 194

---

25.
Material: MgIr2
Method: DFT, GGA-PBE
State: relaxed

a b c (Å): 4.9944 4.9944 4.9944
angles (deg): 102.79 102.79 123.87
Fractional positions:
Mg  0.7500  0.7500  0.0000
Mg  0.2500  0.2500  0.0000
Ir  0.1421  0.3579  0.5000
Ir  0.3579  0.8579  0.2159
Ir  0.6421  0.1421  0.7841
Ir  0.8579  0.6421  0.5000

Results
Crystal system   tetragonal
Space group   I4/mcm, No. 140

---

26.
Material: MgIr
Method: DFT, GGA-PBE
State: relaxed

a b c (Å): 7.9603 7.9603 4.4783
angles (deg): 90.00 90.00 90.00
Fractional positions:
Mg  0.2757  0.0000  0.5000
Mg  0.0000  0.2757  0.5000
Mg  0.0000  0.7243  0.5000
Mg  0.7243  0.0000  0.5000
Mg  0.5000  0.2243  0.0000
Mg  0.7757  0.5000  0.0000
Mg  0.2243  0.5000  0.0000
Mg  0.5000  0.7757  0.0000
Ir  0.6592  0.3408  0.5000
Ir  0.8408  0.8408  0.0000
Ir  0.1592  0.8408  0.0000
Ir  0.8408  0.1592  0.0000
Ir  0.3408  0.3408  0.5000
Ir  0.3408  0.6592  0.5000
Ir  0.1592  0.1592  0.0000
Ir  0.6592  0.6592  0.5000

Results
Crystal system   tetragonal
Space group   I4/mmm, No. 139

---

27.
Material: MgIr3
Method: DFT, GGA-PBE
State: relaxed

a b c (Å): 2.7599 2.7599 9.1627
angles (deg): 90.00 90.00 119.40
Fractional positions:
Ir  0.5000  0.5000  0.7500
Ir  0.0000  0.0000  0.0017
Ir  0.0000  0.0000  0.4983
Mg  0.5000  0.5000  0.2500

Results
Crystal system   orthorhombic
Space group   Cmmm, No. 65

---

Listing E_form for the structures above in their given order: -0.615; -0.752; -0.621; 0.459; -0.134; -0.145; 0.266; -0.138; -0.215; -0.083; 0.643; -0.365; -0.100; -0.140; 0.067; -0.182; 0.178; -0.326; 1.458; -0.089; 0.163; -0.148; 0.391; -0.230; 0.325; -0.101; 0.148 eV/atom.
Listing uncorrected energy for the structures above in their given order: -5.500; -8.838; -7.932; -6.851; -7.178; -7.189; -6.173; -5.366; -5.443; -7.733; -4.585; -5.593; -6.538; -7.547; -6.372; -5.006; -7.229; -3.738; -3.770; -6.528; -6.882; -5.376; -6.048; -6.669; -6.114; -5.328; -6.897 eV per atom.